Record 1
This record from the Alexandria database describes a relaxed structure of Tb2Ce2Si4Pt. The functional is PBE.

a = 6.4829 Å, b = 6.4829 Å, c = 6.4829 Å
α = 101.02°, β = 113.85°, γ = 113.85°
Last column: nearest neighbours and their distance in Å.
Fractional coordinates of all 9 atoms:
Si (0.0000, 0.7589, 0.2411)  1 Pt 2.41
Si (0.0000, 0.2411, 0.7589)  1 Pt 2.41
Si (0.4822, 0.2411, 0.2411)  1 Pt 2.41
Si (0.5178, 0.7589, 0.7589)  1 Pt 2.41
Tb (0.5000, 0.2500, 0.7500)  8 Si 3.24, 4 Ce 3.61
Tb (0.5000, 0.7500, 0.2500)  8 Si 3.24, 4 Ce 3.61
Ce (0.0000, 0.3388, 0.3388)  1 Ce 2.66, 1 Pt 2.79, 4 Si 2.91
Ce (0.0000, 0.6612, 0.6612)  1 Ce 2.66, 1 Pt 2.79, 4 Si 2.91
Pt (0.0000, 0.0000, 0.0000)  4 Si 2.41

Summary:
Symmetry: No. 139
DFT total energy: -5.824 eV per atom

Record 2
This record from the Alexandria database describes a relaxed structure of TbCe2Si3Pt4. The functional is PBE.

a = 4.2377 Å, b = 4.2377 Å, c = 10.9678 Å
α = 90.00°, β = 90.00°, γ = 90.00°
Last column: nearest neighbours and their distance in Å.
Fractional coordinates of all 10 atoms:
Pt (0.5000, 0.5000, 0.0000)  4 Si 2.49
Pt (0.5000, 0.0000, 0.6631)  1 Si 2.39
Pt (0.0000, 0.0000, 0.0000)  4 Si 2.49
Pt (0.0000, 0.5000, 0.3369)  1 Si 2.39
Si (0.5000, 0.0000, 0.8814)  5 Pt 2.39-2.49
Si (0.0000, 0.0000, 0.5000)  4 Pt 2.77, 4 Tb 3.00
Si (0.0000, 0.5000, 0.1186)  5 Pt 2.39-2.49
Tb (0.5000, 0.5000, 0.5000)  4 Pt 2.77, 4 Si 3.00
Ce (0.5000, 0.0000, 0.2275)  4 Si 3.23, 8 Pt 3.23-3.27
Ce (0.0000, 0.5000, 0.7725)  4 Si 3.23, 8 Pt 3.23-3.27

Summary:
Symmetry: No. 115
DFT total energy: -6.714 eV per atom

Record 3
This record from the Alexandria database describes a relaxed structure of Ce2Si4TcPt3. The functional is PBE.

a = 4.2405 Å, b = 4.2405 Å, c = 9.8315 Å
α = 90.00°, β = 90.00°, γ = 90.00°
Last column: nearest neighbours and their distance in Å.
Fractional coordinates of all 10 atoms:
Si (0.0000, 0.5000, 0.3723)  3 Pt 2.45-2.46, 2 Tc 2.46
Si (0.5000, 0.5000, 0.0000)  4 Pt 2.44
Si (0.5000, 0.0000, 0.6277)  3 Pt 2.45-2.46, 2 Tc 2.46
Si (0.0000, 0.0000, 0.0000)  4 Pt 2.44
Tc (0.5000, 0.5000, 0.5000)  4 Si 2.46
Ce (0.5000, 0.0000, 0.2486)  8 Si 3.24, 6 Pt 3.24-3.26, 2 Tc 3.26
Ce (0.0000, 0.5000, 0.7514)  8 Si 3.24, 6 Pt 3.24-3.26, 2 Tc 3.26
Pt (0.0000, 0.5000, 0.1231)  5 Si 2.44-2.45
Pt (0.5000, 0.0000, 0.8769)  5 Si 2.44-2.45
Pt (0.0000, 0.0000, 0.5000)  4 Si 2.46

Summary:
Symmetry: No. 115
DFT total energy: -7.239 eV per atom

Record 4
This record from the Alexandria database describes a relaxed structure of CeThSi2Pt2. The functional is PBE.

a = 4.2605 Å, b = 4.2605 Å, c = 8.0101 Å
α = 90.00°, β = 90.00°, γ = 120.00°
Last column: nearest neighbours and their distance in Å.
Fractional coordinates of all 6 atoms:
Pt (0.3333, 0.6667, 0.2425)  3 Si 2.47
Pt (0.6667, 0.3333, 0.7575)  3 Si 2.47
Ce (0.0000, 0.0000, 0.5000)  6 Si 3.10, 6 Pt 3.21
Th (0.0000, 0.0000, 0.0000)  6 Pt 3.13, 6 Si 3.25
Si (0.3333, 0.6667, 0.7349)  3 Pt 2.47
Si (0.6667, 0.3333, 0.2651)  3 Pt 2.47

Summary:
Symmetry: No. 164
DFT total energy: -7.195 eV per atom

Record 5
This record from the Alexandria database describes a relaxed structure of CeTh2Si3Pt4. The functional is PBE.

a = 4.2863 Å, b = 4.2863 Å, c = 10.9455 Å
α = 90.00°, β = 90.00°, γ = 90.00°
Last column: nearest neighbours and their distance in Å.
Fractional coordinates of all 10 atoms:
Th (0.0000, 0.5000, 0.7759)  4 Si 3.25, 8 Pt 3.26-3.27
Th (0.5000, 0.0000, 0.2241)  4 Si 3.25, 8 Pt 3.26-3.27
Si (0.0000, 0.5000, 0.1179)  5 Pt 2.38-2.50
Si (0.5000, 0.0000, 0.8821)  5 Pt 2.38-2.50
Si (0.0000, 0.0000, 0.5000)  4 Pt 2.80, 4 Ce 3.03
Pt (0.5000, 0.5000, 0.0000)  4 Si 2.50
Pt (0.0000, 0.5000, 0.3354)  1 Si 2.38
Pt (0.0000, 0.0000, 0.0000)  4 Si 2.50
Pt (0.5000, 0.0000, 0.6646)  1 Si 2.38
Ce (0.5000, 0.5000, 0.5000)  4 Pt 2.80, 4 Si 3.03

Summary:
Symmetry: No. 115
DFT total energy: -7.126 eV per atom

Record 6
This record from the Alexandria database describes a relaxed structure of CeThSi2Pt4. The functional is PBE.

a = 4.1134 Å, b = 4.1134 Å, c = 9.4446 Å
α = 90.00°, β = 90.00°, γ = 90.00°
Last column: nearest neighbours and their distance in Å.
Fractional coordinates of all 8 atoms:
Si (0.5000, 0.5000, 0.3754)  1 Si 2.35, 4 Pt 2.46
Si (0.5000, 0.5000, 0.6246)  1 Si 2.35, 4 Pt 2.46
Pt (0.5000, 0.0000, 0.7674)  2 Si 2.46
Pt (0.0000, 0.5000, 0.2326)  2 Si 2.46
Pt (0.0000, 0.5000, 0.7674)  2 Si 2.46
Pt (0.5000, 0.0000, 0.2326)  2 Si 2.46
Ce (0.0000, 0.0000, 0.5000)  8 Si 3.14, 8 Pt 3.26
Th (0.0000, 0.0000, 0.0000)  8 Pt 3.01

Summary:
Symmetry: No. 123
DFT total energy: -6.994 eV per atom

Record 7
This record from the Alexandria database describes a relaxed structure of Ce2TiSi3Pt4. The functional is PBE.

a = 4.2074 Å, b = 4.2074 Å, c = 10.2834 Å
α = 90.00°, β = 90.00°, γ = 90.00°
Last column: nearest neighbours and their distance in Å.
Fractional coordinates of all 10 atoms:
Ce (0.5000, 0.0000, 0.2463)  6 Si 3.21-3.35, 8 Pt 3.21-3.29, 2 Ti 3.35
Ce (0.0000, 0.5000, 0.7537)  6 Si 3.21-3.35, 8 Pt 3.21-3.29, 2 Ti 3.35
Si (0.0000, 0.5000, 0.1300)  5 Pt 2.40-2.49
Si (0.0000, 0.0000, 0.5000)  4 Pt 2.53
Si (0.5000, 0.0000, 0.8700)  5 Pt 2.40-2.49
Pt (0.0000, 0.5000, 0.3637)  3 Si 2.40-2.53, 2 Ti 2.53
Pt (0.0000, 0.0000, 0.0000)  4 Si 2.49
Pt (0.5000, 0.0000, 0.6363)  3 Si 2.40-2.53, 2 Ti 2.53
Pt (0.5000, 0.5000, 0.0000)  4 Si 2.49
Ti (0.5000, 0.5000, 0.5000)  4 Pt 2.53

Summary:
Symmetry: No. 115
DFT total energy: -7.090 eV per atom

Record 8
This record from the Alexandria database describes a relaxed structure of Ce2TiSi4Pt3. The functional is PBE.

a = 4.2124 Å, b = 4.2124 Å, c = 10.2249 Å
α = 90.00°, β = 90.00°, γ = 90.00°
Last column: nearest neighbours and their distance in Å.
Fractional coordinates of all 10 atoms:
Si (0.5000, 0.5000, 0.0000)  4 Pt 2.43
Si (0.5000, 0.0000, 0.6420)  3 Pt 2.45-2.56, 2 Ti 2.56
Si (0.0000, 0.0000, 0.0000)  4 Pt 2.43
Si (0.0000, 0.5000, 0.3580)  3 Pt 2.45-2.56, 2 Ti 2.56
Pt (0.0000, 0.0000, 0.5000)  4 Si 2.56
Pt (0.0000, 0.5000, 0.1188)  5 Si 2.43-2.45
Pt (0.5000, 0.0000, 0.8812)  5 Si 2.43-2.45
Ce (0.0000, 0.5000, 0.7567)  8 Si 3.20-3.26, 6 Pt 3.24-3.37, 2 Ti 3.37
Ce (0.5000, 0.0000, 0.2433)  8 Si 3.20-3.26, 6 Pt 3.24-3.37, 2 Ti 3.37
Ti (0.5000, 0.5000, 0.5000)  4 Si 2.56

Summary:
Symmetry: No. 115
DFT total energy: -6.987 eV per atom

Record 9
This record from the Alexandria database describes a relaxed structure of CeTmSi2Pt2. The functional is PBE.

a = 4.2203 Å, b = 4.2203 Å, c = 7.7554 Å
α = 90.00°, β = 90.00°, γ = 120.00°
Last column: nearest neighbours and their distance in Å.
Fractional coordinates of all 6 atoms:
Si (0.6667, 0.3333, 0.2506)  3 Pt 2.44
Si (0.3333, 0.6667, 0.7494)  3 Pt 2.44
Pt (0.6667, 0.3333, 0.7306)  3 Si 2.44
Pt (0.3333, 0.6667, 0.2694)  3 Si 2.44
Ce (0.0000, 0.0000, 0.0000)  6 Si 3.12, 6 Pt 3.21
Tm (0.0000, 0.0000, 0.5000)  6 Pt 3.02, 6 Si 3.11

Summary:
Symmetry: No. 164
DFT total energy: -6.692 eV per atom

Record 10
This record from the Alexandria database describes a relaxed structure of CeTm2Si2Pt7. The functional is PBE.

a = 4.0374 Å, b = 4.0374 Å, c = 13.8926 Å
α = 83.62°, β = 83.62°, γ = 89.23°
Last column: nearest neighbours and their distance in Å.
Fractional coordinates of all 12 atoms:
Pt (0.4336, 0.9330, 0.1668)  2 Si 2.41
Pt (0.5664, 0.0670, 0.8332)  2 Si 2.41
Pt (0.5000, 0.5000, 0.0000)  4 Ce 2.84-2.87, 8 Pt 3.04-3.06
Pt (0.6404, 0.6404, 0.5692)  1 Si 2.31
Pt (0.0670, 0.5664, 0.8332)  2 Si 2.41
Pt (0.3596, 0.3596, 0.4308)  1 Si 2.31
Pt (0.9330, 0.4336, 0.1668)  2 Si 2.41
Tm (0.8769, 0.8769, 0.3599)  7 Pt 2.98-3.29, 4 Si 3.08-3.26
Tm (0.1231, 0.1231, 0.6401)  7 Pt 2.98-3.29, 4 Si 3.08-3.26
Ce (0.0000, 0.0000, 0.0000)  12 Pt 2.84-3.06
Si (0.3970, 0.3970, 0.2625)  5 Pt 2.31-2.41
Si (0.6030, 0.6030, 0.7375)  5 Pt 2.31-2.41

Summary:
Symmetry: No. 12
DFT total energy: -6.725 eV per atom

Record 11
This record from the Alexandria database describes a relaxed structure of CeYSi2Pt5. The functional is PBE.

a = 4.2259 Å, b = 4.2259 Å, c = 9.0073 Å
α = 90.00°, β = 90.00°, γ = 90.00°
Last column: nearest neighbours and their distance in Å.
Fractional coordinates of all 9 atoms:
Ce (0.0000, 0.0000, 0.5000)  12 Pt 2.99-3.00
Pt (0.5000, 0.5000, 0.5000)  4 Ce 2.99, 8 Pt 3.00, 2 Si 3.33
Pt (0.0000, 0.5000, 0.7370)  2 Si 2.43
Pt (0.5000, 0.0000, 0.7370)  2 Si 2.43
Pt (0.0000, 0.5000, 0.2630)  2 Si 2.43
Pt (0.5000, 0.0000, 0.2630)  2 Si 2.43
Y (0.0000, 0.0000, 0.0000)  8 Pt 3.17, 8 Si 3.21
Si (0.5000, 0.5000, 0.1305)  1 Si 2.35, 4 Pt 2.43
Si (0.5000, 0.5000, 0.8695)  1 Si 2.35, 4 Pt 2.43

Summary:
Symmetry: No. 123
DFT total energy: -6.977 eV per atom